This record from Alexandria describes a relaxed CrFeN2O crystal. The functional is PBE with a Hubbard U.

Computed properties:
Its density of states at the Fermi level is 1.073 states/eV/cell. As for the spin magnetization: 3.9 μB/f.u. The electronic total energy is -32.13 eV for the cell shown. Its symmetry is P4/mmm (123).

```
CrFeN2O
1.0
3.651 0.000 0.000
0.000 3.651 0.000
0.000 0.000 3.896
Cr Fe N O
1 1 2 1
Direct
0.000 0.000 0.000
0.500 0.500 0.500
0.000 0.500 0.000
0.500 0.000 0.000
0.000 0.000 0.500
```